AcTbCe2Te5 PBE relaxed; uncorrected formation energy = -8.20 eV/f.u.; calculated volume = 42.00 Å³/atom
1.0
5.561 0.000 0.000
0.000 5.561 0.000
0.000 0.000 12.226
Tb Te Ce Ac
1 5 2 1
direct
0.000 0.000 0.500
0.000 0.000 0.255
0.500 0.500 0.000
0.500 0.000 0.500
0.000 0.000 0.745
0.000 0.500 0.500
0.500 0.500 0.656
0.500 0.500 0.344
0.000 0.000 0.000

=====

Sc4TcPt PBE relaxed; energy of formation from the pure elements = 0.29 eV per atom; polymorph energy (0 for the lowest one) = 864 meV/atom; calculated volume = 18.84 Å³/atom
1.0
0.000 3.837 3.837
3.837 0.000 3.837
3.837 3.837 0.000
Sc Tc Pt
4 1 1
direct
0.375 0.375 0.375
0.375 0.375 0.875
0.375 0.875 0.375
0.875 0.375 0.375
0.750 0.750 0.750
0.000 0.000 0.000

=====

Cr2SiRh PBE relaxed; uncorrected formation energy = -1.08 eV/f.u.; calculated volume = 13.01 Å³/atom
1.0
-3.208 2.463 -2.012
-3.986 -1.402 1.600
3.751 1.275 2.172
Si Cr Rh
1 2 1
direct
0.750 0.250 0.500
0.000 0.000 0.000
0.250 0.750 0.500
0.500 0.500 0.000

=====

CeTm3Th PBE relaxed; energy of formation from the pure elements = 0.04 eV per atom; polymorph energy (0 for the lowest one) = 0 meV/atom; calculated volume = 30.18 Å³/atom
1.0
3.508 0.000 0.000
0.000 9.862 0.000
0.000 0.000 17.443
Tm Th Ce
12 4 4
direct
0.250 0.378 0.150
0.250 0.878 0.350
0.750 0.126 0.251
0.750 0.122 0.650
0.750 0.624 0.451
0.250 0.376 0.549
0.750 0.626 0.249
0.250 0.876 0.951
0.250 0.374 0.751
0.250 0.874 0.749
0.750 0.622 0.850
0.750 0.124 0.049
0.750 0.127 0.851
0.250 0.373 0.351
0.250 0.873 0.149
0.750 0.627 0.649
0.750 0.624 0.048
0.750 0.124 0.452
0.250 0.376 0.952
0.250 0.876 0.548

=====

NbVNiIr PBE relaxed; energy of formation from the pure elements = -0.36 eV per atom; polymorph energy (0 for the lowest one) = 0 meV/atom; calculated volume = 14.16 Å³/atom
1.0
3.782 0.000 0.000
0.000 3.878 0.000
0.000 0.000 3.862
Nb Ir V Ni
1 1 1 1
direct
0.000 0.000 0.000
0.000 0.500 0.500
0.500 0.500 0.000
0.500 0.000 0.500

=====

PmPr6Er3 PBE relaxed; energy of formation from the pure elements = 0.14 eV per atom; polymorph energy (0 for the lowest one) = 0 meV/atom; calculated volume = 34.44 Å³/atom
1.0
6.427 0.000 0.000
0.000 11.034 -1.737
0.000 -4.156 10.368
Pr Er Pm
12 6 2
direct
0.371 0.965 0.035
0.550 0.630 0.709
0.550 0.291 0.370
0.153 0.718 0.282
0.368 0.059 0.477
0.368 0.523 0.941
0.868 0.941 0.523
0.871 0.035 0.965
0.050 0.709 0.630
0.050 0.370 0.291
0.868 0.477 0.059
0.653 0.282 0.718
0.964 0.711 0.943
0.464 0.289 0.057
0.590 0.616 0.384
0.464 0.943 0.711
0.090 0.384 0.616
0.964 0.057 0.289
0.608 0.807 0.193
0.108 0.193 0.807

=====

CaTa2Hg PBE relaxed; energy of formation from the pure elements = 0.81 eV per atom; calculated volume = 23.57 Å³/atom
1.0
3.755 0.000 0.000
0.000 3.755 0.000
0.000 0.000 6.688
Hg Ta Ca
1 2 1
direct
0.500 0.500 0.750
0.000 0.000 0.568
0.000 0.000 0.932
0.500 0.500 0.250

=====

Ce6AgPb2 PBE relaxed; energy of formation from the pure elements = -0.11 eV per atom; calculated volume = 25.33 Å³/atom
1.0
3.147 0.000 0.000
0.000 7.920 -4.573
0.000 0.000 9.146
Ag Pb Ce
1 2 6
direct
0.000 0.000 0.000
0.000 0.333 0.667
0.000 0.667 0.333
0.500 0.685 0.000
0.500 0.000 0.685
0.500 0.315 0.315
0.500 0.685 0.685
0.500 0.000 0.315
0.500 0.315 0.000

=====

InReRu2 PBE relaxed; energy of formation from the pure elements = 0.31 eV per atom; calculated volume = 15.62 Å³/atom
1.0
4.698 -0.012 0.000
1.103 4.566 0.000
-2.901 -2.277 2.910
In Ru Re
1 2 1
direct
0.250 0.750 0.500
0.500 0.500 0.000
0.000 0.000 0.000
0.750 0.250 0.500

=====

MgScCo3 PBE relaxed; energy of formation from the pure elements = 1.04 eV per atom; polymorph energy (0 for the lowest one) = 105 meV/atom; calculated volume = 17.44 Å³/atom
1.0
-0.161 -2.638 -3.561
2.031 -3.211 2.287
-3.939 -1.548 1.325
Co Sc Mg
3 1 1
direct
0.500 0.000 0.000
0.000 0.000 0.500
0.000 0.500 0.000
0.000 0.000 0.000
0.500 0.500 0.500

=====

LaMg2W PBE relaxed; energy of formation from the pure elements = 0.57 eV per atom; polymorph energy (0 for the lowest one) = 177 meV/atom; calculated volume = 23.07 Å³/atom
1.0
-3.005 4.620 -2.952
-5.392 2.098 2.371
6.181 -0.876 0.346
Mg La W
2 1 1
direct
0.730 0.230 0.500
0.986 0.986 0.000
0.275 0.775 0.500
0.510 0.510 0.000

=====

NaTl3Au PBE relaxed; energy of formation from the pure elements = -0.09 eV per atom; polymorph energy (0 for the lowest one) = 9 meV/atom; calculated volume = 28.49 Å³/atom
1.0
4.357 0.000 0.000
0.000 10.331 0.000
0.000 0.000 12.662
Tl Na Au
12 4 4
direct
0.750 0.171 0.797
0.250 0.427 0.679
0.750 0.448 0.903
0.250 0.927 0.821
0.750 0.573 0.321
0.750 0.948 0.597
0.250 0.052 0.403
0.750 0.073 0.179
0.250 0.829 0.203
0.750 0.671 0.703
0.250 0.552 0.097
0.250 0.329 0.297
0.750 0.293 0.502
0.750 0.793 0.998
0.250 0.707 0.498
0.250 0.207 0.002
0.750 0.353 0.130
0.750 0.853 0.370
0.250 0.147 0.630
0.250 0.647 0.870